Run w
VASP calculation (GGA-PBE) on a geometry-optimized PmHBr4 structure.

Values from the calculation:
total magnetization = 0.00 μB/f.u.
space-group type = I4_1md (109)

a b c (Å): 8.166 8.165 8.167
angles (deg): 63.66 73.85 106.14
Atoms (fractional coordinates):
Br1 0.204 0.734 0.469
Br2 0.796 0.327 0.469
Br3 0.704 0.780 0.515
Br4 0.826 0.871 0.955
Br5 0.296 0.780 0.923
Pm1 0.500 0.022 0.478
H1 0.500 0.327 0.173
Br6 0.326 0.295 0.379
Br7 0.174 0.219 0.955
Br8 0.674 0.295 0.031
Pm2 0.000 0.772 0.228
H2 0.000 0.077 0.923

Run x
VASP calculation (GGA-PBE) on a geometry-optimized PmHBr4 structure.

Values from the calculation:
total magnetization = 0.00 μB/f.u.
space-group type = C2/c (15)

a b c (Å): 7.053 8.640 8.087
angles (deg): 111.26 103.05 113.17
Atoms (fractional coordinates):
Br1 0.751 0.702 0.525
Br2 0.312 0.246 0.940
Br3 0.274 0.823 0.525
H1 0.001 0.251 0.502
Br4 0.249 0.298 0.475
Pm1 0.653 0.403 0.806
Br5 0.128 0.694 0.940
Pm2 0.347 0.597 0.194
Br6 0.688 0.754 0.060
H2 0.999 0.749 0.498
Br7 0.872 0.306 0.060
Br8 0.726 0.177 0.475

Question: which arrangement is favored energetically? Ranking from most to least stable: run x, run w.

Run w
VASP calculation (GGA-PBE) on a geometry-optimized PmHBr2 structure.

Values from the calculation:
total magnetization = 0.00 μB/f.u.
space-group type = Pnna (52)

a b c (Å): 6.472 7.554 10.714
angles (deg): 89.99 90.00 90.00
Atoms (fractional coordinates):
H1 0.250 0.210 0.750
Br1 0.247 0.067 0.427
Br2 0.747 0.933 0.927
Br3 0.753 0.933 0.573
Pm1 0.500 0.250 0.889
Br4 0.747 0.433 0.073
H2 0.750 0.790 0.250
Br5 0.247 0.567 0.573
Pm2 0.000 0.250 0.611
H3 0.750 0.290 0.750
Br6 0.253 0.067 0.073
Br7 0.253 0.567 0.927
Pm3 0.000 0.750 0.389
Pm4 0.500 0.750 0.111
Br8 0.753 0.433 0.427
H4 0.250 0.710 0.250

Run x
VASP calculation (GGA-PBE) on a geometry-optimized PmHBr2 structure.

Values from the calculation:
total magnetization = 0.00 μB/f.u.
space-group type = R3m (160)

a b c (Å): 3.970 3.969 7.933
angles (deg): 75.46 75.51 60.00
Atoms (fractional coordinates):
Br1 0.888 0.651 0.573
Pm1 0.136 0.899 0.829
Br2 0.718 0.480 0.085
H1 0.469 0.232 0.829

Question: which arrangement is favored energetically? Ranking from most to least stable: run x, run w.

Run w
VASP calculation (GGA-PBE) on a geometry-optimized HPtBr3 structure.

Values from the calculation:
total magnetization = 1.86 μB/f.u.
space-group type = Pm-3m (221)

a b c (Å): 4.594 4.594 4.594
angles (deg): 90.00 90.00 90.00
Atoms (fractional coordinates):
H1 0.000 0.000 0.000
Br1 0.500 0.000 0.000
Pt1 0.500 0.500 0.500
Br2 0.000 0.500 0.000
Br3 0.000 0.000 0.500

Run x
VASP calculation (GGA-PBE) on a geometry-optimized HPtBr3 structure.

Values from the calculation:
total magnetization = 0.66 μB/f.u.
space-group type = Pm-3m (221)

a b c (Å): 5.147 5.147 5.147
angles (deg): 90.00 90.00 90.00
Atoms (fractional coordinates):
Br1 0.000 0.000 0.500
Br2 0.000 0.500 0.000
Br3 0.500 0.000 0.000
H1 0.500 0.500 0.500
Pt1 0.000 0.000 0.000

Question: which arrangement is favored energetically? Ranking from most to least stable: run x, run w.

Run w
VASP calculation (GGA-PBE) on a geometry-optimized HPt2Br structure.

Values from the calculation:
total magnetization = 0.00 μB/f.u.
space-group type = I-42d (122)

a b c (Å): 5.074 5.074 6.073
angles (deg): 65.31 65.31 90.00
Atoms (fractional coordinates):
Pt1 0.504 0.125 0.250
Pt2 0.375 0.496 0.750
Br1 0.750 0.250 0.500
Br2 0.000 0.000 0.000
Pt3 0.875 0.754 0.750
H1 0.500 0.500 0.000
Pt4 0.246 0.625 0.250
H2 0.250 0.750 0.500

Run x
VASP calculation (GGA-PBE) on a geometry-optimized HPt2Br structure.

Values from the calculation:
total magnetization = 0.00 μB/f.u.
space-group type = Fm-3m (225)

a b c (Å): 4.385 4.385 4.385
angles (deg): 60.00 60.00 60.00
Atoms (fractional coordinates):
Pt1 0.750 0.750 0.750
Pt2 0.250 0.250 0.250
H1 0.000 0.000 0.000
Br1 0.500 0.500 0.500

Question: which arrangement is favored energetically? Ranking from most to least stable: run w, run x.

Run w
VASP calculation (GGA-PBE) on a geometry-optimized HPtBr structure.

Values from the calculation:
total magnetization = 0.00 μB/f.u.
space-group type = Imma (74)

a b c (Å): 5.459 7.391 5.666
angles (deg): 90.00 90.00 90.00
Atoms (fractional coordinates):
Pt1 0.250 0.250 0.250
H1 0.500 0.250 0.057
Pt2 0.250 0.750 0.750
H2 0.500 0.750 0.943
Pt3 0.750 0.250 0.250
Br1 0.000 0.500 0.000
H3 0.000 0.250 0.443
H4 0.000 0.750 0.557
Pt4 0.750 0.750 0.750
Br2 0.000 0.000 0.000
Br3 0.500 0.500 0.500
Br4 0.500 0.000 0.500

Run x
VASP calculation (GGA-PBE) on a geometry-optimized HPtBr structure.

Values from the calculation:
total magnetization = 0.00 μB/f.u.
space-group type = Pnma (62)

a b c (Å): 8.690 3.741 6.504
angles (deg): 90.00 90.00 90.00
Atoms (fractional coordinates):
H1 0.534 0.750 0.248
Pt1 0.102 0.750 0.033
Pt2 0.898 0.250 0.967
Pt3 0.398 0.250 0.533
Pt4 0.602 0.750 0.467
Br1 0.297 0.250 0.131
H2 0.966 0.250 0.748
Br2 0.703 0.750 0.869
H3 0.034 0.750 0.252
Br3 0.797 0.250 0.369
H4 0.466 0.250 0.752
Br4 0.203 0.750 0.631

Question: which arrangement is favored energetically? Ranking from most to least stable: run x, run w.

Run w
VASP calculation (GGA-PBE) on a geometry-optimized HPtBr2 structure.

Values from the calculation:
total magnetization = 0.00 μB/f.u.
space-group type = I-42d (122)

a b c (Å): 5.534 5.534 6.486
angles (deg): 64.75 64.75 90.00
Atoms (fractional coordinates):
Br1 0.875 0.821 0.750
Pt1 0.000 0.000 0.000
H1 0.500 0.500 0.000
Br2 0.375 0.429 0.750
Br3 0.179 0.625 0.250
Br4 0.571 0.125 0.250
H2 0.250 0.750 0.500
Pt2 0.750 0.250 0.500

Run x
VASP calculation (GGA-PBE) on a geometry-optimized HPtBr2 structure.

Values from the calculation:
total magnetization = 0.00 μB/f.u.
space-group type = R-3m (166)

a b c (Å): 7.729 7.729 7.729
angles (deg): 25.22 25.22 25.22
Atoms (fractional coordinates):
Pt1 0.000 0.000 0.000
Br1 0.106 0.106 0.106
Br2 0.894 0.894 0.894
H1 0.500 0.500 0.500

Run y
VASP calculation (GGA-PBE) on a geometry-optimized HPtBr2 structure.

Values from the calculation:
total magnetization = 2.85 μB/f.u.
space-group type = Fm-3m (225)

a b c (Å): 4.701 4.701 4.701
angles (deg): 60.00 60.00 60.00
Atoms (fractional coordinates):
Pt1 0.500 0.500 0.500
Br1 0.250 0.250 0.250
H1 0.000 0.000 0.000
Br2 0.750 0.750 0.750

Question: which arrangement is favored energetically? Ranking from most to least stable: run w, run x, run y.